1.
UPt3 after structural relaxation. Source: Alexandria via LeMat-Bulk, functional PBE.

Values from the calculation:
**Total magnetic moment**: 1.57 μB per formula unit
**E_form**: -3.05 eV/f.u.

POSCAR file:
```
UPt3
1.0
5.763 0.000 0.000
-2.881 4.991 0.000
0.000 0.000 5.003
U Pt
2 6
direct
0.333 0.667 0.250
0.667 0.333 0.750
0.165 0.330 0.750
0.165 0.835 0.750
0.330 0.165 0.250
0.670 0.835 0.750
0.835 0.165 0.250
0.835 0.670 0.250
```

2.
Al22PbO34 after structural relaxation. Source: Alexandria via LeMat-Bulk, functional PBE.

Values from the calculation:
**Total magnetic moment**: 0.00 μB per formula unit
**Final energy**: -0.2720 Ha/atom

POSCAR file:
```
Al22PbO34
1.0
9.782 0.000 0.000
0.000 11.309 0.000
-3.177 0.000 11.441
Al Pb O
44 2 68
direct
0.000 0.000 0.000
0.000 0.500 0.000
0.052 0.250 0.648
0.056 0.750 0.648
0.098 0.000 0.784
0.098 0.500 0.784
0.149 0.750 0.947
0.151 0.624 0.205
0.151 0.876 0.205
0.152 0.127 0.217
0.152 0.250 0.952
0.152 0.373 0.217
0.345 0.124 0.784
0.345 0.376 0.784
0.347 0.623 0.789
0.347 0.877 0.789
0.350 0.001 0.049
0.350 0.499 0.049
0.400 0.250 0.212
0.402 0.750 0.210
0.448 0.001 0.351
0.448 0.499 0.351
0.499 0.250 0.999
0.501 0.750 0.001
0.552 0.501 0.649
0.552 0.999 0.649
0.598 0.250 0.790
0.600 0.750 0.788
0.650 0.501 0.951
0.650 0.999 0.951
0.653 0.123 0.211
0.653 0.377 0.211
0.655 0.624 0.216
0.655 0.876 0.216
0.848 0.627 0.783
0.848 0.750 0.048
0.848 0.873 0.783
0.849 0.124 0.795
0.849 0.376 0.795
0.851 0.250 0.053
0.902 0.000 0.216
0.902 0.500 0.216
0.944 0.250 0.352
0.948 0.750 0.352
0.295 0.750 0.470
0.705 0.250 0.530
0.045 0.618 0.900
0.045 0.882 0.900
0.046 0.119 0.902
0.046 0.381 0.902
0.046 0.750 0.498
0.092 0.502 0.282
0.092 0.998 0.282
0.095 0.250 0.294
0.100 0.750 0.289
0.155 0.125 0.709
0.155 0.375 0.709
0.158 0.624 0.712
0.158 0.876 0.712
0.190 0.502 0.098
0.190 0.998 0.098
0.202 0.250 0.112
0.203 0.750 0.109
0.297 0.001 0.889
0.297 0.499 0.889
0.311 0.250 0.901
0.312 0.750 0.901
0.341 0.629 0.294
0.341 0.871 0.294
0.343 0.125 0.287
0.343 0.375 0.287
0.407 0.000 0.713
0.407 0.500 0.713
0.408 0.750 0.717
0.410 0.250 0.718
0.451 0.633 0.100
0.451 0.867 0.100
0.454 0.133 0.098
0.454 0.367 0.098
0.500 0.000 0.500
0.500 0.500 0.500
0.546 0.633 0.902
0.546 0.867 0.902
0.549 0.133 0.900
0.549 0.367 0.900
0.590 0.750 0.282
0.592 0.250 0.283
0.593 0.000 0.287
0.593 0.500 0.287
0.657 0.625 0.713
0.657 0.875 0.713
0.659 0.129 0.706
0.659 0.371 0.706
0.688 0.250 0.099
0.689 0.750 0.099
0.703 0.501 0.111
0.703 0.999 0.111
0.797 0.250 0.891
0.798 0.750 0.888
0.810 0.002 0.902
0.810 0.498 0.902
0.842 0.124 0.288
0.842 0.376 0.288
0.845 0.625 0.291
0.845 0.875 0.291
0.900 0.250 0.711
0.905 0.750 0.706
0.908 0.002 0.718
0.908 0.498 0.718
0.954 0.250 0.502
0.954 0.619 0.098
0.954 0.881 0.098
0.955 0.118 0.100
0.955 0.382 0.100
```

no.,volume (Å³ per cell),calculated density (Mg/m³)
1,143.9,19.00
2,1265.5,3.53